First-principles (PBE) data for an optimized crystal structure of CaYPS, as listed in Alexandria via LeMat-Bulk.

a = 7.0397 Å, b = 7.0397 Å, c = 7.0397 Å
α = 33.34°, β = 33.34°, γ = 33.34°
Closest atoms and distances in Å follow each position.
Positions (direct):
Ca 0.0000 0.0000 0.0000  3 P 2.89, 3 S 2.92
Y 0.4943 0.4943 0.4943  3 P 2.77, 3 S 2.87
P 0.7522 0.7522 0.7522  3 Y 2.77, 3 Ca 2.89
S 0.2454 0.2454 0.2454  3 Y 2.87, 3 Ca 2.92

Results
As for the space group: R3m. The volume comes out at 93.8 Å³ per cell. The raw formation energy comes out at -1.805 eV/atom.